SrPRu3 (GGA-PBE, optimized geometry); SG = Pm-3m (221); formation energy from the elements = 2.83 eV/atom; final energy = -4.16 eV per atom; ΔE to the lowest computed polymorph = 2766 meV/atom; DOS(E_F) = 1.73 states/eV per atom
1.0
4.907 0.000 0.000
0.000 4.907 0.000
0.000 0.000 4.907
Sr P Ru
1 1 3
Cartesian
0.000 0.000 0.000
2.453 2.453 2.453
0.000 0.000 2.453
0.000 2.453 0.000
2.453 0.000 0.000